An optimized crystal structure of Rb4AuF2, computed with GGA-PBE.

The space group is I4/mmm (No. 139) and the conventional cell measures 6.3529, 6.3529 and 15.7031 Å, with angles of 90.00, 90.00 and 90.00 degrees. The inequivalent atoms are Rb at (0.0000, 0.0000, 0.2381), Rb at (0.0000, 0.5000, 0.0000), Au at (0.0000, 0.0000, 0.0000) and F at (0.0000, 0.0000, 0.3957).

As for the energy above the lowest structure with this stoichiometry: 0.2326 eV per atom. The theoretical density comes out at 3.023 g cm⁻³.